{"formula": "TiZnN2O", "functional": "GGA-PBEsol", "state": "optimized geometry", "final_energy_ev_per_atom": -6.0147, "dos_at_fermi_per_ev_fu": 2.1, "crystal_system": "tetragonal", "lattice_angstrom": [[3.686, 0.000, 0.000], [0.000, 3.712, 0.000], [0.000, 0.000, 3.712]], "species": ["Zn", "N", "N", "O", "Ti"], "fractional_positions": [[0.000, 0.000, 0.000], [0.000, 0.500, 0.000], [0.000, 0.000, 0.500], [0.500, 0.000, 0.000], [0.500, 0.500, 0.500]]}



{"formula": "ZnCdIn2", "functional": "GGA-PBEsol", "state": "optimized geometry", "dos_at_fermi_per_ev_fu": 1.4, "polymorph_energy_ev_per_atom": 0.006, "crystal_system": "trigonal", "lattice_angstrom": [[-1.952, 2.620, 0.887], [-1.757, 1.676, -2.358], [-7.954, -3.967, 0.678]], "species": ["In", "In", "Zn", "Cd"], "fractional_positions": [[0.755, 0.755, 0.734], [0.245, 0.245, 0.266], [0.500, 0.500, 0.500], [0.000, 0.000, 0.000]]}



{"formula": "Mn24Co5", "functional": "GGA-PBEsol", "state": "optimized geometry", "final_energy_ev_per_atom": -9.3784, "dos_at_fermi_per_ev_fu": 36.0, "crystal_system": "cubic", "lattice_angstrom": [[-2.902, 4.638, 4.864], [1.632, -6.315, 3.323], [6.092, 2.919, -2.821]], "species": ["Mn", "Mn", "Mn", "Mn", "Mn", "Mn", "Mn", "Mn", "Mn", "Mn", "Mn", "Mn", "Mn", "Mn", "Mn", "Mn", "Mn", "Mn", "Mn", "Mn", "Mn", "Mn", "Mn", "Mn", "Co", "Co", "Co", "Co", "Co"], "fractional_positions": [[0.321, 0.321, 0.713], [0.000, 0.194, 0.372], [0.608, 0.287, 0.608], [0.000, 0.392, 0.679], [0.608, 0.608, 0.287], [0.392, 0.000, 0.679], [0.194, 0.372, 0.000], [0.194, 0.000, 0.372], [0.806, 0.806, 0.178], [0.372, 0.000, 0.194], [0.372, 0.194, 0.000], [0.713, 0.321, 0.321], [0.287, 0.608, 0.608], [0.392, 0.679, 0.000], [0.806, 0.178, 0.806], [0.321, 0.713, 0.321], [0.628, 0.628, 0.822], [0.679, 0.392, 0.000], [0.822, 0.628, 0.628], [0.679, 0.000, 0.392], [0.000, 0.372, 0.194], [0.000, 0.679, 0.392], [0.178, 0.806, 0.806], [0.628, 0.822, 0.628], [0.644, 0.000, 0.000], [0.000, 0.000, 0.644], [0.000, 0.644, 0.000], [0.000, 0.000, 0.000], [0.356, 0.356, 0.356]]}



{"formula": "Li6CrO6", "functional": "GGA-PBEsol", "state": "optimized geometry", "final_energy_ev_per_atom": -5.9829, "crystal_system": "monoclinic", "lattice_angstrom": [[5.596, 0.000, 0.000], [-2.798, 4.880, 0.022], [0.000, -0.149, 10.293]], "species": ["O", "O", "O", "O", "O", "O", "O", "O", "O", "O", "O", "O", "Li", "Li", "Li", "Li", "Li", "Li", "Li", "Li", "Li", "Li", "Li", "Li", "Cr", "Cr"], "fractional_positions": [[0.281, 0.281, 0.547], [0.716, 0.721, 0.046], [0.354, 0.660, 0.766], [0.704, 0.358, 0.266], [0.000, 0.281, 0.047], [0.654, 0.358, 0.766], [0.725, 0.008, 0.548], [0.983, 0.982, 0.836], [0.305, 0.660, 0.266], [0.999, 0.982, 0.336], [0.005, 0.721, 0.546], [0.283, 0.008, 0.048], [0.604, 0.624, 0.271], [0.614, 0.025, 0.780], [0.675, 0.345, 0.086], [0.358, 0.676, 0.586], [0.006, 0.297, 0.243], [0.291, 0.297, 0.743], [0.004, 0.624, 0.350], [0.411, 0.025, 0.280], [0.620, 0.624, 0.850], [0.319, 0.676, 0.086], [0.670, 0.345, 0.586], [0.020, 0.624, 0.771], [0.001, 0.002, 0.998], [0.001, 0.002, 0.498]]}



{"formula": "LiTl2In", "functional": "GGA-PBEsol", "state": "optimized geometry", "final_energy_ev_per_atom": -2.6622, "dos_at_fermi_per_ev_fu": 1.9, "crystal_system": "tetragonal", "lattice_angstrom": [[-4.634, 0.818, 0.420], [0.336, -0.506, 4.685], [2.939, 4.122, -2.145]], "species": ["Li", "Tl", "Tl", "In"], "fractional_positions": [[0.000, 0.000, 0.000], [0.750, 0.250, 0.500], [0.250, 0.750, 0.500], [0.500, 0.500, 0.000]]}



{"formula": "ZrTl2Pb", "functional": "GGA-PBEsol", "state": "optimized geometry", "dos_at_fermi_per_ev_fu": 2.6, "polymorph_energy_ev_per_atom": 0.000, "crystal_system": "orthorhombic", "lattice_angstrom": [[-1.220, -0.230, 3.132], [-0.854, -5.218, -0.716], [6.106, 1.634, 0.686]], "species": ["Tl", "Tl", "Pb", "Zr"], "fractional_positions": [[0.763, 0.763, 0.526], [0.237, 0.237, 0.474], [0.000, 0.500, 0.000], [0.500, 0.000, 0.000]]}



{"formula": "LiInBr2", "functional": "GGA-PBEsol", "state": "optimized geometry", "dos_at_fermi_per_ev_fu": 0.0, "polymorph_energy_ev_per_atom": 0.018, "crystal_system": "tetragonal", "lattice_angstrom": [[6.613, 0.155, -0.245], [-2.507, 6.121, 0.245], [2.507, 2.842, 5.427]], "species": ["In", "In", "Br", "Br", "Br", "Br", "Li", "Li"], "fractional_positions": [[0.500, 0.250, 0.250], [0.000, 0.000, 0.000], [0.929, 0.125, 0.446], [0.071, 0.625, 0.804], [0.429, 0.804, 0.125], [0.571, 0.446, 0.625], [0.500, 0.750, 0.750], [0.000, 0.500, 0.500]]}



{"formula": "Co8Ir", "functional": "GGA-PBEsol", "state": "optimized geometry", "final_energy_ev_per_atom": -7.9263, "dos_at_fermi_per_ev_fu": 11.9, "crystal_system": "tetragonal", "lattice_angstrom": [[3.513, 0.000, 0.000], [1.756, 5.269, 0.000], [1.756, 0.000, 5.269]], "species": ["Co", "Co", "Co", "Co", "Co", "Co", "Co", "Co", "Ir"], "fractional_positions": [[0.662, 0.338, 0.338], [0.000, 0.662, 0.338], [0.000, 0.338, 0.662], [0.329, 0.342, 0.000], [0.671, 0.658, 0.000], [0.329, 0.000, 0.342], [0.338, 0.662, 0.662], [0.671, 0.000, 0.658], [0.000, 0.000, 0.000]]}



{"formula": "TaTlCu2S4", "functional": "GGA-PBEsol", "state": "optimized geometry", "final_energy_ev_per_atom": -5.7949, "dos_at_fermi_per_ev_fu": 0.0, "crystal_system": "orthorhombic", "lattice_angstrom": [[5.457, 0.000, 0.000], [0.000, 7.245, 0.000], [-2.729, 0.000, 8.957]], "species": ["Cu", "Cu", "Cu", "Cu", "S", "S", "S", "S", "S", "S", "S", "S", "Tl", "Tl", "Ta", "Ta"], "fractional_positions": [[0.524, 0.500, 0.000], [0.111, 0.250, 0.215], [0.524, 0.000, 0.000], [0.895, 0.750, 0.785], [0.256, 0.750, 0.986], [0.858, 0.994, 0.216], [0.858, 0.506, 0.216], [0.030, 0.750, 0.572], [0.643, 0.494, 0.784], [0.270, 0.250, 0.014], [0.458, 0.250, 0.428], [0.643, 0.006, 0.784], [0.094, 0.250, 0.637], [0.457, 0.750, 0.363], [0.617, 0.250, 0.228], [0.389, 0.750, 0.772]]}



{"formula": "SbRuAu2", "functional": "GGA-PBEsol", "state": "optimized geometry", "final_energy_ev_per_atom": -5.3596, "dos_at_fermi_per_ev_fu": 5.0, "crystal_system": "tetragonal", "lattice_angstrom": [[-0.589, -0.914, -3.724], [1.089, -3.652, 0.725], [-4.600, 1.177, 2.460]], "species": ["Ru", "Au", "Au", "Sb"], "fractional_positions": [[0.500, 0.500, 0.000], [0.750, 0.250, 0.500], [0.250, 0.750, 0.500], [0.000, 0.000, 0.000]]}



{"formula": "AlCuOs2", "functional": "GGA-PBEsol", "state": "optimized geometry", "final_energy_ev_per_atom": -7.9752, "dos_at_fermi_per_ev_fu": 4.7, "crystal_system": "tetragonal", "lattice_angstrom": [[3.767, 0.000, 0.000], [0.000, 3.767, 0.000], [-1.884, -1.884, 3.787]], "species": ["Al", "Os", "Os", "Cu"], "fractional_positions": [[0.500, 0.500, 0.000], [0.250, 0.750, 0.500], [0.750, 0.250, 0.500], [0.000, 0.000, 0.000]]}



{"formula": "K2BaSrRu", "functional": "GGA-PBEsol", "state": "optimized geometry", "final_energy_ev_per_atom": -2.2986, "dos_at_fermi_per_ev_fu": 3.1, "crystal_system": "tetragonal", "lattice_angstrom": [[-1.585, -3.574, 3.110], [1.085, -4.588, -4.718], [6.231, -0.822, 2.232]], "species": ["Sr", "Ru", "K", "K", "Ba"], "fractional_positions": [[0.000, 0.000, 0.000], [0.500, 0.000, 0.000], [0.000, 0.500, 0.000], [0.000, 0.000, 0.500], [0.500, 0.500, 0.500]]}



{"formula": "TlS2I2", "functional": "GGA-PBEsol", "state": "optimized geometry", "final_energy_ev_per_atom": -2.7114, "dos_at_fermi_per_ev_fu": 2.3, "crystal_system": "tetragonal", "lattice_angstrom": [[5.618, 0.000, 0.000], [0.000, 5.618, 0.000], [-2.809, -2.809, 5.609]], "species": ["Tl", "I", "I", "S", "S"], "fractional_positions": [[0.000, 0.000, 0.000], [0.284, 0.284, 0.568], [0.716, 0.716, 0.432], [0.750, 0.250, 0.500], [0.250, 0.750, 0.500]]}